Compound: KGa3Ni
Source: Alexandria
Functional: GGA-PBE
Structure: optimized geometry

```
data_KGa3Ni
_cell_length_a 4.751
_cell_length_b 4.751
_cell_length_c 4.751
_cell_angle_alpha 90.00
_cell_angle_beta 90.00
_cell_angle_gamma 90.00
_symmetry_space_group_name_H-M 'P m -3 m'
_symmetry_Int_Tables_number 221
_symmetry_space_group_name_Hall '-P 4 2 3'
loop_
_atom_site_label
_atom_site_type_symbol
_atom_site_fract_x
_atom_site_fract_y
_atom_site_fract_z
K1 K 0.000 0.000 0.000
Ga1 Ga 0.000 0.500 0.500
Ni1 Ni 0.500 0.500 0.500
```

Results
uncorrected energy	-3.2965	eV/atom
offset from the most stable computed form	0	meV/atom
formation energy	-0.5	eV per formula unit